La2CuCl: PBEsol geometry, SCAN.

Values from the calculation:
Crystal system: orthorhombic
Magnetic moment in μB/atom: 0.000
DOS(E_F) in states/eV/f.u.: 1.9
Polymorph energy (0 for the lowest one) in eV per atom: 0.000
Formation energy from raw total energies in eV/atom: -1.03

Structure (POSCAR):
```
La2CuCl
1.0
-2.2669 -2.0437 2.7354
2.9772 -2.7897 0.3830
2.4440 3.2161 4.4281
La Cu Cl
2 1 1
Direct
0.8744 0.5000 0.0000
0.3752 0.0000 0.5000
0.8760 0.5000 0.5000
0.3744 0.0000 0.0000
```